K3TcRh3S8, relaxed, DFT PBE-GGA; ΔE_f (raw) = -666 meV per atom; symmetry = R-3m
1.0
3.645 2.105 7.069
-3.645 2.105 7.069
0.000 -4.209 7.069
K Tc Rh S
3 1 3 8
Direct
0.000 0.500 0.500
0.500 0.000 0.500
0.500 0.500 0.000
0.500 0.500 0.500
0.000 0.000 0.500
0.000 0.500 0.000
0.500 0.000 0.000
0.219 0.727 0.727
0.222 0.222 0.222
0.273 0.273 0.781
0.273 0.781 0.273
0.727 0.219 0.727
0.727 0.727 0.219
0.778 0.778 0.778
0.781 0.273 0.273